i | VASP calculation (PBEsol) on crystalline Mg2SiO4 at its relaxed geometry.

Calculated values
The symmetry is Imma.

Unit cell a=7.6297 b=7.6297 c=7.6297 alpha=136.01 beta=82.45 gamma=114.32
Last column: nearest neighbours and their distance in Å.
Fractional coordinates of all 28 atoms:
Mg 0.0000 0.0000 0.0000  6 O 2.05-2.11
Mg 0.1228 0.0000 0.6228  6 O 2.03-2.13
Mg 0.1228 0.5000 0.1228  6 O 2.03-2.13
Mg 0.2795 0.0295 0.2500  6 O 2.04-2.10
Mg 0.5000 0.0000 0.5000  6 O 2.05-2.11
Mg 0.7205 0.9705 0.7500  6 O 2.04-2.10
Mg 0.8772 0.0000 0.3772  6 O 2.03-2.13
Mg 0.8772 0.5000 0.8772  6 O 2.03-2.13
Si 0.2363 0.6167 0.6196  4 O 1.64-1.71
Si 0.4971 0.6167 0.8804  4 O 1.64-1.71
Si 0.5029 0.3833 0.1196  4 O 1.64-1.71
Si 0.7637 0.3833 0.3804  4 O 1.64-1.71
O 0.0329 0.7829 0.2500  5 Mg 2.03-2.04
O 0.1295 0.2672 0.3831  1 Si 1.64
O 0.1295 0.7464 0.8623  1 Si 1.64
O 0.2548 0.7452 0.5095  1 Si 1.65
O 0.2643 0.2548 0.0095  1 Si 1.65
O 0.3841 0.2672 0.6377  1 Si 1.64
O 0.3841 0.7464 0.1169  1 Si 1.64
O 0.4673 0.7173 0.7500  2 Si 1.71
O 0.5327 0.2827 0.2500  2 Si 1.71
O 0.6159 0.2536 0.8831  1 Si 1.64
O 0.6159 0.7328 0.3623  1 Si 1.64
O 0.7357 0.7452 0.9905  1 Si 1.65
O 0.7452 0.2548 0.4905  1 Si 1.65
O 0.8705 0.2536 0.1377  1 Si 1.64
O 0.8705 0.7328 0.6169  1 Si 1.64
O 0.9671 0.2171 0.7500  5 Mg 2.03-2.04


ii | VASP calculation (PBEsol) on crystalline Mg2SiO4 at its relaxed geometry.

Calculated values
The symmetry is I-42d.

Unit cell a=5.8597 b=5.8597 c=5.8597 alpha=107.19 beta=107.19 gamma=114.13
Last column: nearest neighbours and their distance in Å.
Fractional coordinates of all 14 atoms:
Mg 0.0713 0.6250 0.9463  4 O 1.99-2.04
Mg 0.3750 0.3213 0.4463  4 O 1.99-2.04
Mg 0.6787 0.1250 0.0537  4 O 1.99-2.04
Mg 0.8750 0.9287 0.5537  4 O 1.99-2.04
Si 0.2500 0.7500 0.5000  4 O 1.65
Si 0.5000 0.5000 0.0000  4 O 1.65
O 0.0938 0.4162 0.2733  1 Si 1.65
O 0.1429 0.8205 0.7267  1 Si 1.65
O 0.1662 0.3438 0.7733  1 Si 1.65
O 0.1795 0.9062 0.3223  1 Si 1.65
O 0.5705 0.3929 0.2267  1 Si 1.65
O 0.5838 0.8571 0.6777  1 Si 1.65
O 0.6071 0.8338 0.1777  1 Si 1.65
O 0.6562 0.4295 0.8223  1 Si 1.65


iii | VASP calculation (PBEsol) on crystalline Mg2SiO4 at its relaxed geometry.

Calculated values
The symmetry is P-3m1.

Unit cell a=5.9488 b=5.9488 c=4.7982 alpha=90.00 beta=90.00 gamma=120.00
Last column: nearest neighbours and their distance in Å.
Fractional coordinates of all 14 atoms:
Mg 0.0000 0.0000 0.0000  6 O 2.21
Mg 0.0000 0.5000 0.5000  6 O 2.05-2.10
Mg 0.5000 0.0000 0.5000  6 O 2.05-2.10
Mg 0.5000 0.5000 0.5000  6 O 2.05-2.10
Si 0.3333 0.6667 0.9282  4 O 1.63-1.67
Si 0.6667 0.3333 0.0718  4 O 1.63-1.67
O 0.1877 0.3754 0.7772  1 Si 1.67
O 0.1877 0.8123 0.7772  1 Si 1.67
O 0.3333 0.6667 0.2670  1 Si 1.63
O 0.3754 0.1877 0.2228  1 Si 1.67
O 0.6246 0.8123 0.7772  1 Si 1.67
O 0.6667 0.3333 0.7330  1 Si 1.63
O 0.8123 0.1877 0.2228  1 Si 1.67
O 0.8123 0.6246 0.2228  1 Si 1.67


iv | VASP calculation (PBEsol) on crystalline Mg2SiO4 at its relaxed geometry.

Calculated values
The symmetry is Pnma.

Unit cell a=10.2080 b=5.9908 c=4.7689 alpha=90.00 beta=90.00 gamma=90.00
Last column: nearest neighbours and their distance in Å.
Fractional coordinates of all 28 atoms:
Mg 0.0000 0.0000 0.0000  6 O 2.08-2.13
Mg 0.0000 0.5000 0.0000  6 O 2.08-2.13
Mg 0.2233 0.2500 0.4913  6 O 2.05-2.21
Mg 0.2767 0.7500 0.9913  6 O 2.05-2.21
Mg 0.5000 0.0000 0.5000  6 O 2.08-2.13
Mg 0.5000 0.5000 0.5000  6 O 2.08-2.13
Mg 0.7233 0.2500 0.0087  6 O 2.05-2.21
Mg 0.7767 0.7500 0.5087  6 O 2.05-2.21
Si 0.0938 0.7500 0.4269  4 O 1.63-1.67
Si 0.4062 0.2500 0.9269  4 O 1.63-1.67
Si 0.5938 0.7500 0.0731  4 O 1.63-1.67
Si 0.9062 0.2500 0.5731  4 O 1.63-1.67
O 0.0540 0.2500 0.7219  1 Si 1.67
O 0.0917 0.7500 0.7680  1 Si 1.63
O 0.1634 0.5320 0.2762  1 Si 1.65
O 0.1634 0.9680 0.2762  1 Si 1.65
O 0.3366 0.0320 0.7762  1 Si 1.65
O 0.3366 0.4680 0.7762  1 Si 1.65
O 0.4083 0.2500 0.2680  1 Si 1.63
O 0.4460 0.7500 0.2219  1 Si 1.67
O 0.5540 0.2500 0.7781  1 Si 1.67
O 0.5917 0.7500 0.7320  1 Si 1.63
O 0.6634 0.5320 0.2238  1 Si 1.65
O 0.6634 0.9680 0.2238  1 Si 1.65
O 0.8366 0.0320 0.7238  1 Si 1.65
O 0.8366 0.4680 0.7238  1 Si 1.65
O 0.9083 0.2500 0.2320  1 Si 1.63
O 0.9460 0.7500 0.2781  1 Si 1.67


What should be chosen as the most stable of them? Choose iv.